(1)
A plane-wave DFT calculation with PBE was carried out for an optimized crystal structure of Tb3PrSc6.

## Properties
The calculated formation energy is 0.16 eV per atom. The mass density is 5.30 g cm⁻³. Its crystal system is orthorhombic. The magnetic moment is 0.00 μB per atom. The value obtained for the electronic total energy is -5.507 eV/atom.

a b c (Å): 10.389 10.389 5.912
angles (deg): 90.00 90.00 119.28
Sites, in units of the cell vectors:
Tb  0.096  0.904  0.500
Tb  0.216  0.423  0.101
Tb  0.423  0.216  0.601
Tb  0.577  0.784  0.101
Tb  0.784  0.577  0.601
Tb  0.904  0.096  0.000
Pr  0.283  0.717  0.381
Pr  0.717  0.283  0.881
Sc  0.054  0.490  0.712
Sc  0.122  0.233  0.566
Sc  0.196  0.804  0.940
Sc  0.233  0.122  0.066
Sc  0.449  0.551  0.640
Sc  0.490  0.054  0.212
Sc  0.510  0.946  0.712
Sc  0.551  0.449  0.140
Sc  0.767  0.878  0.566
Sc  0.804  0.196  0.440
Sc  0.878  0.767  0.066
Sc  0.946  0.510  0.212

***

(2)
A plane-wave DFT calculation with PBE was carried out for an optimized crystal structure of AcTb2Sm3.

## Properties
The calculated formation energy is 0.09 eV per atom. The mass density is 7.92 g cm⁻³. The calculation puts the energy above the lowest structure with this stoichiometry at 0 kJ/mol of formula units. Its crystal system is monoclinic. The magnetic moment is 0.00 μB per atom. The value obtained for the electronic total energy is -4.500 eV/atom.

a b c (Å): 6.842 6.842 9.147
angles (deg): 98.04 98.04 94.92
Sites, in units of the cell vectors:
Ac  0.070  0.930  0.750
Ac  0.930  0.070  0.250
Tb  0.127  0.618  0.376
Tb  0.382  0.873  0.124
Tb  0.618  0.127  0.876
Tb  0.873  0.382  0.624
Sm  0.180  0.359  0.012
Sm  0.359  0.180  0.512
Sm  0.412  0.588  0.750
Sm  0.588  0.412  0.250
Sm  0.641  0.820  0.488
Sm  0.820  0.641  0.988

***

(3)
A plane-wave DFT calculation with PBE was carried out for an optimized crystal structure of PmYTm2.

## Properties
The calculated formation energy is 0.01 eV per atom. The mass density is 7.40 g cm⁻³. The calculation puts the energy above the lowest structure with this stoichiometry at 0 kJ/mol of formula units. Its crystal system is orthorhombic. The magnetic moment is 0.00 μB per atom. The value obtained for the electronic total energy is -5.026 eV/atom.

a b c (Å): 6.709 6.709 6.709
angles (deg): 148.64 65.32 124.31
Sites, in units of the cell vectors:
Pm  0.000  0.000  0.000
Y  0.501  0.001  0.500
Tm  0.086  0.335  0.750
Tm  0.585  0.335  0.250